A PBEsol-optimized structure of KBePb2. Source: the Alexandria database, functional meta-GGA SCAN.

Output
raw total energy = -40.56 eV per atom
formation energy from the elements = 2.02 eV/f.u.
Fermi-level density of states = 1.88 states/eV per cell

Lattice parameters (Å, degrees): 3.2601 6.2522 6.3408 117.82 101.92 95.89
Last column: nearest neighbours and their distance in Å.
Atoms (fractional coordinates):
Pb1 0.5000 0.5000 0.5000  2 K 3.25, 2 Be 3.25, 4 Pb 3.26-3.37
Pb2 0.0000 0.0000 0.5000  2 Be 3.25, 2 K 3.25, 4 Pb 3.26-3.37
Be1 0.5000 0.0000 0.0000  4 Pb 3.25, 2 Be 3.26, 2 K 3.37
K1 0.0000 0.5000 0.0000  4 Pb 3.25, 2 K 3.26, 2 Be 3.37


A PBEsol-optimized structure of KBePb2. Source: the Alexandria database, functional meta-GGA SCAN.

Output
raw total energy = -40.87 eV per atom
formation energy from the elements = 0.76 eV/f.u.
Fermi-level density of states = 1.45 states/eV per cell

Lattice parameters (Å, degrees): 4.5147 4.5454 6.5804 90.00 109.87 90.00
Last column: nearest neighbours and their distance in Å.
Atoms (fractional coordinates):
K1 0.4167 0.5000 0.7087  3 Pb 3.46-3.54, 4 Be 3.72-3.74
Pb1 0.1256 0.0000 0.1244  2 Be 2.82-2.83
Pb2 0.6980 0.5000 0.2681  2 Be 2.41
Be1 0.7597 0.0000 0.3988  2 Pb 2.41


A PBEsol-optimized structure of K3BePd. Source: the Alexandria database, functional meta-GGA SCAN.

Output
raw total energy = -11.50 eV per atom
formation energy from the elements = 4.62 eV/f.u.
Fermi-level density of states = 3.99 states/eV per cell

Lattice parameters (Å, degrees): 5.9294 5.9294 5.9294 90.00 90.00 90.00
Last column: nearest neighbours and their distance in Å.
Atoms (fractional coordinates):
K1 0.5000 0.0000 0.0000  2 Be 2.96
K2 0.0000 0.5000 0.0000  2 Be 2.96
K3 0.0000 0.0000 0.5000  2 Be 2.96
Be1 0.0000 0.0000 0.0000  6 K 2.96
Pd1 0.5000 0.5000 0.5000  12 K 4.19


A PBEsol-optimized structure of K2ScBePd. Source: the Alexandria database, functional meta-GGA SCAN.

Output
raw total energy = -12.57 eV per atom
formation energy from the elements = 5.18 eV/f.u.
Fermi-level density of states = 5.56 states/eV per cell

Lattice parameters (Å, degrees): 4.6138 6.6665 6.6665 90.00 90.00 90.00
Last column: nearest neighbours and their distance in Å.
Atoms (fractional coordinates):
Pd1 0.5000 0.0000 0.0000  2 Sc 2.31
Be1 0.5000 0.5000 0.5000  8 K 4.05
K1 0.0000 0.5000 0.0000  2 Sc 3.33
K2 0.0000 0.0000 0.5000  2 Sc 3.33
Sc1 0.0000 0.0000 0.0000  2 Pd 2.31


A PBEsol-optimized structure of K2BePt. Source: the Alexandria database, functional meta-GGA SCAN.

Output
raw total energy = -22.21 eV per atom
formation energy from the elements = 2.37 eV/f.u.
Fermi-level density of states = 1.27 states/eV per cell

Lattice parameters (Å, degrees): 2.7419 4.5855 7.9182 90.00 90.00 90.00
Last column: nearest neighbours and their distance in Å.
Atoms (fractional coordinates):
Pt1 0.5000 0.5000 0.0000  2 Pt 2.74
Be1 0.5000 0.5000 0.5000  2 Be 2.74
K1 0.0000 0.0000 0.2266  2 K 2.74
K2 0.0000 0.0000 0.7734  2 K 2.74


A PBEsol-optimized structure of KBePt2. Source: the Alexandria database, functional meta-GGA SCAN.

Output
raw total energy = -38.38 eV per atom
formation energy from the elements = -0.44 eV/f.u.
Fermi-level density of states = 1.51 states/eV per cell

Lattice parameters (Å, degrees): 3.0817 3.0817 7.5106 90.00 90.00 90.00
Last column: nearest neighbours and their distance in Å.
Atoms (fractional coordinates):
Pt1 0.0000 0.0000 0.0648  1 Be 2.38
Pt2 0.5000 0.5000 0.3045  4 Be 2.25
Be1 0.0000 0.0000 0.3814  5 Pt 2.25-2.38
K1 0.5000 0.5000 0.7493  4 K 3.08, 5 Pt 3.22-3.34


A PBEsol-optimized structure of KBePt2. Source: the Alexandria database, functional meta-GGA SCAN.

Output
raw total energy = -38.65 eV per atom
formation energy from the elements = -1.54 eV/f.u.
Fermi-level density of states = 0.93 states/eV per cell

Lattice parameters (Å, degrees): 2.7982 2.7982 8.1072 90.00 90.00 90.00
Last column: nearest neighbours and their distance in Å.
Atoms (fractional coordinates):
Pt1 0.0000 0.0000 0.1762  4 Be 2.44
Pt2 0.0000 0.0000 0.8238  4 Be 2.44
K1 0.5000 0.5000 0.5000  4 K 2.80
Be1 0.5000 0.5000 0.0000  8 Pt 2.44


A PBEsol-optimized structure of KBePt2. Source: the Alexandria database, functional meta-GGA SCAN.

Output
raw total energy = -37.84 eV per atom
formation energy from the elements = 1.72 eV/f.u.
Fermi-level density of states = 1.48 states/eV per cell

Lattice parameters (Å, degrees): 2.7713 4.7295 4.9367 90.00 90.00 90.00
Last column: nearest neighbours and their distance in Å.
Atoms (fractional coordinates):
Pt1 0.0000 0.0000 0.0000  4 Be 2.74, 6 Pt 2.77-2.83
Pt2 0.5000 0.0000 0.5000  4 K 2.74, 6 Pt 2.77-2.83
Be1 0.5000 0.5000 0.0000  4 Pt 2.74, 2 Be 2.77, 4 K 2.83
K1 0.0000 0.5000 0.5000  4 Pt 2.74, 2 K 2.77, 4 Be 2.83


A PBEsol-optimized structure of KBePt2. Source: the Alexandria database, functional meta-GGA SCAN.

Output
raw total energy = -37.80 eV per atom
formation energy from the elements = 1.88 eV/f.u.
Fermi-level density of states = 1.01 states/eV per cell

Lattice parameters (Å, degrees): 4.1012 4.1012 4.8189 115.18 115.18 90.00
Last column: nearest neighbours and their distance in Å.
Atoms (fractional coordinates):
Pt1 0.7500 0.2500 0.5000  4 K 2.81, 4 Be 2.81, 4 Pt 2.90
Pt2 0.2500 0.7500 0.5000  4 K 2.81, 4 Be 2.81, 4 Pt 2.90
K1 0.0000 0.0000 0.0000  8 Pt 2.81, 4 Be 2.90
Be1 0.5000 0.5000 0.0000  8 Pt 2.81, 4 K 2.90


A PBEsol-optimized structure of KBePt3. Source: the Alexandria database, functional meta-GGA SCAN.

Output
raw total energy = -44.65 eV per atom
formation energy from the elements = -0.01 eV/f.u.
Fermi-level density of states = 4.31 states/eV per cell

Lattice parameters (Å, degrees): 4.3481 4.3481 4.3481 90.00 90.00 90.00
Last column: nearest neighbours and their distance in Å.
Atoms (fractional coordinates):
Pt1 0.0000 0.0000 0.5000  2 Be 2.17
Pt2 0.0000 0.5000 0.0000  2 Be 2.17
Pt3 0.5000 0.0000 0.0000  2 Be 2.17
Be1 0.0000 0.0000 0.0000  6 Pt 2.17
K1 0.5000 0.5000 0.5000  12 Pt 3.07


A PBEsol-optimized structure of KBeRe2. Source: the Alexandria database, functional meta-GGA SCAN.

Output
raw total energy = -37.29 eV per atom
formation energy from the elements = 5.72 eV/f.u.
Fermi-level density of states = 2.86 states/eV per cell

Lattice parameters (Å, degrees): 2.6513 4.8010 5.1106 90.00 90.00 90.00
Last column: nearest neighbours and their distance in Å.
Atoms (fractional coordinates):
Re1 0.5000 0.5000 0.0000  6 Re 2.65-2.74, 4 K 2.88
Re2 0.0000 0.0000 0.0000  6 Re 2.65-2.74, 4 Be 2.88
Be1 0.5000 0.0000 0.5000  2 Be 2.65, 4 K 2.74, 4 Re 2.88
K1 0.0000 0.5000 0.5000  2 K 2.65, 4 Be 2.74, 4 Re 2.88


A PBEsol-optimized structure of KBeRe2. Source: the Alexandria database, functional meta-GGA SCAN.

Output
raw total energy = -38.17 eV per atom
formation energy from the elements = 2.21 eV/f.u.
Fermi-level density of states = 2.49 states/eV per cell

Lattice parameters (Å, degrees): 3.0102 3.0102 8.0537 90.00 90.00 90.00
Last column: nearest neighbours and their distance in Å.
Atoms (fractional coordinates):
Be1 0.0000 0.0000 0.4052  5 Re 2.39-2.53
Re1 0.5000 0.5000 0.2693  4 Be 2.39, 4 Re 2.57
Re2 0.0000 0.0000 0.0906  1 Be 2.53, 4 Re 2.57
K1 0.5000 0.5000 0.7349  4 K 3.01


Question: Which of these has the highest Fermi-level density of states?
Answer: K2ScBePd


Question: Which value of formation energy from the elements does entry 6 give?
Answer: -0.44 eV/f.u.


Copy entry 8 word for word.
A PBEsol-optimized structure of KBePt2. Source: the Alexandria database, functional meta-GGA SCAN.

Output
raw total energy = -37.84 eV per atom
formation energy from the elements = 1.72 eV/f.u.
Fermi-level density of states = 1.48 states/eV per cell

Lattice parameters (Å, degrees): 2.7713 4.7295 4.9367 90.00 90.00 90.00
Last column: nearest neighbours and their distance in Å.
Atoms (fractional coordinates):
Pt1 0.0000 0.0000 0.0000  4 Be 2.74, 6 Pt 2.77-2.83
Pt2 0.5000 0.0000 0.5000  4 K 2.74, 6 Pt 2.77-2.83
Be1 0.5000 0.5000 0.0000  4 Pt 2.74, 2 Be 2.77, 4 K 2.83
K1 0.0000 0.5000 0.5000  4 Pt 2.74, 2 K 2.77, 4 Be 2.83


Question: Among the records above, which one has the highest raw total energy?
Answer: K3BePd